1.
# CrMoPd (GGA-PBE, optimized geometry)
# Formation energy from the elements   0.16 eV per atom
data_CrMoPd
_chemical_formula_sum 'Cr1 Mo1 Pd1'
_symmetry_space_group_name_H-M 'P 1'
_symmetry_Int_Tables_number 1
_symmetry_space_group_name_Hall 'P 1'
_cell_length_a 2.6644
_cell_length_b 2.6644
_cell_length_c 6.3607
_cell_angle_alpha 102.09
_cell_angle_beta 102.09
_cell_angle_gamma 90.00
loop_
_atom_site_label
_atom_site_type_symbol
_atom_site_fract_x
_atom_site_fract_y
_atom_site_fract_z
_atom_site_occupancy
Cr1 Cr 0.6698 0.6698 0.3397 1
Pd1 Pd 0.3268 0.3268 0.6535 1
Mo1 Mo 0.0034 0.0034 0.0068 1



2.
# MgAl2Cd (GGA-PBE, optimized geometry)
# Formation energy from the elements   0.12 eV per atom
data_MgAl2Cd
_chemical_formula_sum 'Mg1 Al2 Cd1'
_symmetry_space_group_name_H-M 'P 1'
_symmetry_Int_Tables_number 1
_symmetry_space_group_name_Hall 'P 1'
_cell_length_a 4.8209
_cell_length_b 4.8209
_cell_length_c 4.8209
_cell_angle_alpha 60.00
_cell_angle_beta 60.00
_cell_angle_gamma 60.00
loop_
_atom_site_label
_atom_site_type_symbol
_atom_site_fract_x
_atom_site_fract_y
_atom_site_fract_z
_atom_site_occupancy
Al1 Al 0.2500 0.2500 0.2500 1
Al2 Al 0.0000 0.0000 0.0000 1
Mg1 Mg 0.7500 0.7500 0.7500 1
Cd1 Cd 0.5000 0.5000 0.5000 1



3.
# TiCu2Cl (GGA-PBE, optimized geometry)
# ΔE_f (raw)   2.15 eV per formula unit
data_TiCu2Cl
_chemical_formula_sum 'Ti1 Cu2 Cl1'
_symmetry_space_group_name_H-M 'P 1'
_symmetry_Int_Tables_number 1
_symmetry_space_group_name_Hall 'P 1'
_cell_length_a 4.4826
_cell_length_b 4.4826
_cell_length_c 4.4826
_cell_angle_alpha 60.00
_cell_angle_beta 60.00
_cell_angle_gamma 60.00
loop_
_atom_site_label
_atom_site_type_symbol
_atom_site_fract_x
_atom_site_fract_y
_atom_site_fract_z
_atom_site_occupancy
Cl1 Cl 0.0000 0.0000 0.0000 1
Cu1 Cu 0.7500 0.7500 0.7500 1
Cu2 Cu 0.2500 0.2500 0.2500 1
Ti1 Ti 0.5000 0.5000 0.5000 1



4.
Mo4H after structural relaxation, computed with GGA-PBE.

Structure (CIF):
```
data_Mo4H
_chemical_formula_sum 'Mo4 H1'
_symmetry_space_group_name_H-M 'P 1'
_symmetry_Int_Tables_number 1
_symmetry_space_group_name_Hall 'P 1'
_cell_length_a 4.0450
_cell_length_b 4.0450
_cell_length_c 4.0450
_cell_angle_alpha 90.00
_cell_angle_beta 90.00
_cell_angle_gamma 90.00
loop_
_atom_site_label
_atom_site_type_symbol
_atom_site_fract_x
_atom_site_fract_y
_atom_site_fract_z
_atom_site_occupancy
Mo1 Mo 0.5000 0.0000 0.5000 1
Mo2 Mo 0.0000 0.5000 0.5000 1
Mo3 Mo 0.5000 0.5000 0.0000 1
Mo4 Mo 0.0000 0.0000 0.0000 1
H1 H 0.5000 0.5000 0.5000 1
```



5.
# Nd2Al4Ni3Pd (GGA-PBE, optimized geometry)
# Formation energy from the elements   -0.62 eV per atom
data_Nd2Al4Ni3Pd
_chemical_formula_sum 'Nd2 Al4 Ni3 Pd1'
_symmetry_space_group_name_H-M 'P 1'
_symmetry_Int_Tables_number 1
_symmetry_space_group_name_Hall 'P 1'
_cell_length_a 4.2364
_cell_length_b 4.2364
_cell_length_c 9.9328
_cell_angle_alpha 90.00
_cell_angle_beta 90.00
_cell_angle_gamma 90.00
loop_
_atom_site_label
_atom_site_type_symbol
_atom_site_fract_x
_atom_site_fract_y
_atom_site_fract_z
_atom_site_occupancy
Al1 Al 0.0000 0.5000 0.3705 1
Al2 Al 0.5000 0.0000 0.6295 1
Al3 Al 0.0000 0.0000 0.0000 1
Al4 Al 0.5000 0.5000 0.0000 1
Ni1 Ni 0.5000 0.0000 0.8723 1
Ni2 Ni 0.0000 0.0000 0.5000 1
Ni3 Ni 0.0000 0.5000 0.1277 1
Nd1 Nd 0.5000 0.0000 0.2483 1
Nd2 Nd 0.0000 0.5000 0.7517 1
Pd1 Pd 0.5000 0.5000 0.5000 1



6.
# Mn6Te7 (GGA-PBE, optimized geometry)
# ΔE_f (raw)   7.45 eV per formula unit
data_Mn6Te7
_chemical_formula_sum 'Mn6 Te7'
_symmetry_space_group_name_H-M 'P 1'
_symmetry_Int_Tables_number 1
_symmetry_space_group_name_Hall 'P 1'
_cell_length_a 9.1627
_cell_length_b 9.1627
_cell_length_c 9.1627
_cell_angle_alpha 50.97
_cell_angle_beta 50.97
_cell_angle_gamma 50.97
loop_
_atom_site_label
_atom_site_type_symbol
_atom_site_fract_x
_atom_site_fract_y
_atom_site_fract_z
_atom_site_occupancy
Te1 Te 0.4327 0.4327 0.9135 1
Te2 Te 0.5000 0.5000 0.5000 1
Te3 Te 0.5673 0.0865 0.5673 1
Te4 Te 0.4327 0.9135 0.4327 1
Te5 Te 0.5673 0.5673 0.0865 1
Te6 Te 0.9135 0.4327 0.4327 1
Te7 Te 0.0865 0.5673 0.5673 1
Mn1 Mn 0.7806 0.7806 0.7806 1
Mn2 Mn 0.8935 0.8935 0.8935 1
Mn3 Mn 0.1065 0.1065 0.1065 1
Mn4 Mn 0.3350 0.3350 0.3350 1
Mn5 Mn 0.6650 0.6650 0.6650 1
Mn6 Mn 0.2194 0.2194 0.2194 1



7.
# K2Na5Hg2Au (GGA-PBE, optimized geometry)
# Formation energy from the elements   -0.14 eV per atom
data_K2Na5Hg2Au
_chemical_formula_sum 'K4 Na10 Hg4 Au2'
_symmetry_space_group_name_H-M 'P 1'
_symmetry_Int_Tables_number 1
_symmetry_space_group_name_Hall 'P 1'
_cell_length_a 4.1046
_cell_length_b 12.6925
_cell_length_c 12.6925
_cell_angle_alpha 90.00
_cell_angle_beta 90.00
_cell_angle_gamma 90.00
loop_
_atom_site_label
_atom_site_type_symbol
_atom_site_fract_x
_atom_site_fract_y
_atom_site_fract_z
_atom_site_occupancy
K1 K 0.0000 0.3269 0.8269 1
K2 K 0.0000 0.8269 0.6731 1
K3 K 0.0000 0.6731 0.1731 1
K4 K 0.0000 0.1731 0.3269 1
Na1 Na 0.5000 0.0570 0.8198 1
Na2 Na 0.5000 0.6802 0.4430 1
Na3 Na 0.5000 0.5570 0.6802 1
Na4 Na 0.5000 0.0000 0.5000 1
Na5 Na 0.5000 0.9430 0.1802 1
Na6 Na 0.5000 0.4430 0.3198 1
Na7 Na 0.5000 0.1802 0.0570 1
Na8 Na 0.5000 0.8198 0.9430 1
Na9 Na 0.5000 0.5000 0.0000 1
Na10 Na 0.5000 0.3198 0.5570 1
Hg1 Hg 0.0000 0.1319 0.6319 1
Hg2 Hg 0.0000 0.3681 0.1319 1
Hg3 Hg 0.0000 0.8681 0.3681 1
Hg4 Hg 0.0000 0.6319 0.8681 1
Au1 Au 0.0000 0.0000 0.0000 1
Au2 Au 0.0000 0.5000 0.5000 1



8.
# LiLaSnHg (GGA-PBE, optimized geometry)
# Formation energy from the elements   -0.55 eV per atom
data_LiLaSnHg
_chemical_formula_sum 'Li1 La1 Sn1 Hg1'
_symmetry_space_group_name_H-M 'P 1'
_symmetry_Int_Tables_number 1
_symmetry_space_group_name_Hall 'P 1'
_cell_length_a 5.3035
_cell_length_b 5.3035
_cell_length_c 5.3035
_cell_angle_alpha 60.00
_cell_angle_beta 60.00
_cell_angle_gamma 60.00
loop_
_atom_site_label
_atom_site_type_symbol
_atom_site_fract_x
_atom_site_fract_y
_atom_site_fract_z
_atom_site_occupancy
Hg1 Hg 0.5000 0.5000 0.5000 1
Li1 Li 0.2500 0.2500 0.2500 1
Sn1 Sn 0.0000 0.0000 0.0000 1
La1 La 0.7500 0.7500 0.7500 1



Number 1: final energy -25.15 eV/cell. Number 2: final energy -9.51 eV/cell. Number 3: final energy -15.78 eV/cell. Number 4: final energy -45.44 eV/cell. Number 5: final energy -53.22 eV/cell. Number 6: final energy -69.56 eV/cell. Number 7: final energy -28.21 eV/cell. Number 8: final energy -13.36 eV/cell.